meta-GGA SCAN ZrCd, PBEsol geometry; DOS(E_F) = 2.7 states/eV per cell; ρ = 8.08 Mg/m³; M_tot = 0.00 μB/cell; total energy = -30.717 eV per atom; crystal system = tetragonal
1.0
3.093 0.000 0.000
0.000 3.093 0.000
0.000 0.000 8.750
Zr Cd
2 2
Direct
0.500 0.000 0.629 Zr
0.000 0.500 0.371 Zr
0.500 0.000 0.117 Cd
0.000 0.500 0.883 Cd

---

meta-GGA SCAN Zr5Cd4, PBEsol geometry; DOS(E_F) = 19.4 states/eV per cell; E above lowest polymorph = 0.000 eV per atom; ρ = 7.95 Mg/m³; M_tot = 0.00 μB/cell; crystal system = hexagonal
1.0
5.915 0.000 0.000
0.000 8.592 0.000
0.000 -4.296 7.441
Cd Zr
8 10
Direct
0.000 0.000 0.000 Cd
0.500 0.000 0.000 Cd
0.750 0.000 0.342 Cd
0.750 0.342 0.000 Cd
0.750 0.658 0.658 Cd
0.250 0.000 0.658 Cd
0.250 0.658 0.000 Cd
0.250 0.342 0.342 Cd
0.750 0.000 0.674 Zr
0.750 0.674 0.000 Zr
0.750 0.326 0.326 Zr
0.250 0.000 0.326 Zr
0.250 0.326 0.000 Zr
0.250 0.674 0.674 Zr
0.000 0.333 0.667 Zr
0.500 0.667 0.333 Zr
0.000 0.667 0.333 Zr
0.500 0.333 0.667 Zr

---

meta-GGA SCAN ZrCd5, PBEsol geometry; DOS(E_F) = 2.7 states/eV per cell; ρ = 8.79 Mg/m³; M_tot = 0.00 μB/cell; total energy = -30.518 eV per atom; crystal system = monoclinic
1.0
2.930 0.000 0.000
-1.465 5.853 -0.026
0.000 -1.908 7.204
Zr Cd
1 5
Direct
0.722 0.443 0.944 Zr
0.000 0.999 0.999 Cd
0.389 0.779 0.282 Cd
0.666 0.332 0.330 Cd
0.056 0.111 0.608 Cd
0.334 0.668 0.671 Cd

---

meta-GGA SCAN ZrCd, PBEsol geometry; DOS(E_F) = 4.8 states/eV per cell; ρ = 8.12 Mg/m³; M_tot = 0.00 μB/cell; total energy = -30.671 eV per atom; crystal system = orthorhombic
1.0
4.928 0.000 0.000
0.000 5.666 0.000
0.000 0.000 5.966
Zr Cd
4 4
Direct
0.750 0.871 0.369 Zr
0.250 0.629 0.869 Zr
0.750 0.371 0.131 Zr
0.250 0.129 0.631 Zr
0.750 0.909 0.870 Cd
0.250 0.591 0.370 Cd
0.750 0.409 0.630 Cd
0.250 0.091 0.130 Cd

---

meta-GGA SCAN Zr3Cd, PBEsol geometry; DOS(E_F) = 7.2 states/eV per cell; ρ = 7.51 Mg/m³; M_tot = 0.00 μB/cell; total energy = -30.711 eV per atom; crystal system = orthorhombic
1.0
5.142 0.000 0.000
0.000 5.462 0.000
0.000 0.000 6.083
Zr Cd
6 2
Direct
0.500 0.352 0.000 Zr
0.000 0.152 0.749 Zr
0.500 0.848 0.751 Zr
0.000 0.648 0.500 Zr
0.000 0.152 0.251 Zr
0.500 0.848 0.249 Zr
0.000 0.661 0.000 Cd
0.500 0.339 0.500 Cd

---

meta-GGA SCAN Zr3Cd, PBEsol geometry; DOS(E_F) = 4.0 states/eV per cell; ρ = 7.32 Mg/m³; M_tot = 0.00 μB/cell; total energy = -30.646 eV per atom; crystal system = trigonal
1.0
-0.435 -2.631 1.714
1.566 -2.654 -0.745
7.902 0.967 6.421
Zr Cd
3 1
Direct
0.249 0.249 0.252 Zr
0.500 0.500 0.500 Zr
0.751 0.751 0.748 Zr
0.000 0.000 0.000 Cd

---

meta-GGA SCAN Zr3Cd, PBEsol geometry; DOS(E_F) = 7.8 states/eV per cell; ρ = 7.50 Mg/m³; M_tot = 0.00 μB/cell; total energy = -30.665 eV per atom; crystal system = orthorhombic
1.0
-4.163 2.589 -0.600
-2.937 -3.865 3.702
2.457 4.665 3.078
Zr Cd
6 2
Direct
0.750 0.601 0.399 Zr
0.750 0.114 0.398 Zr
0.750 0.602 0.886 Zr
0.250 0.399 0.601 Zr
0.250 0.886 0.602 Zr
0.250 0.398 0.114 Zr
0.750 0.107 0.893 Cd
0.250 0.893 0.107 Cd

---

meta-GGA SCAN ZrCd2, PBEsol geometry; DOS(E_F) = 2.9 states/eV per cell; ρ = 8.49 Mg/m³; M_tot = 0.00 μB/cell; total energy = -30.596 eV per atom; crystal system = monoclinic
1.0
-0.160 -1.437 -2.626
-3.229 -3.178 3.647
-4.519 5.601 -2.790
Zr Cd
2 4
Direct
0.324 0.647 0.395 Zr
0.676 0.353 0.605 Zr
0.974 0.949 0.732 Cd
0.349 0.697 0.960 Cd
0.651 0.303 0.040 Cd
0.026 0.051 0.268 Cd